[1]
Entry from Alexandria: an optimized crystal structure of RbAlPt2 (PBE).

POSCAR file:
```
RbAlPt2
1.0
7.632 0.000 0.000
0.000 7.632 0.000
3.816 3.816 3.541
Al Pt Rb
2 4 2
direct
0.250 0.750 0.500
0.500 0.500 0.000
0.875 0.775 0.750
0.225 0.625 0.250
0.525 0.125 0.250
0.375 0.475 0.750
0.000 0.000 0.000
0.750 0.250 0.500
```

Formation energy from the elements in eV/atom: -0.06
Space-group type: I-42d, No. 122
Total DFT energy (no corrections) in Ry/atom: -0.31298



[2]
Entry from Alexandria: an optimized crystal structure of P2IrO (PBE).

POSCAR file:
```
P2IrO
1.0
5.065 0.000 0.000
0.000 5.065 0.000
2.533 2.533 5.002
P O Ir
4 2 2
direct
0.602 0.125 0.250
0.875 0.852 0.750
0.375 0.398 0.750
0.148 0.625 0.250
0.500 0.500 0.000
0.250 0.750 0.500
0.000 0.000 0.000
0.750 0.250 0.500
```

Formation energy (no corrections) in eV/atom: -0.09
Space-group type: I-42d, No. 122
Total DFT energy (no corrections) in Ry/atom: -0.45953



[3]
Entry from Alexandria: an optimized crystal structure of RbY2Cd2 (PBE).

POSCAR file:
```
RbY2Cd2
1.0
-4.400 8.211 2.959
-6.839 -5.302 4.544
1.891 -0.009 2.836
Y Cd Rb
4 4 2
direct
0.375 0.125 0.500
0.625 0.875 0.500
0.125 0.625 0.500
0.875 0.375 0.500
0.166 0.334 0.000
0.834 0.666 0.000
0.334 0.834 0.000
0.666 0.166 0.000
0.500 0.500 0.000
0.000 0.000 0.000
```

Formation energy from the elements in eV/atom: 0.04
Space-group type: P4/mbm, No. 127
Total DFT energy (no corrections) in Ry/atom: -0.22800



[4]
Entry from Alexandria: an optimized crystal structure of LiCrTc2 (PBE).

POSCAR file:
```
LiCrTc2
1.0
-3.037 -0.739 3.794
-3.256 -3.088 2.007
1.485 -2.575 3.203
Tc Li Cr
2 1 1
direct
0.486 0.486 0.514
0.014 0.014 0.986
0.250 0.250 0.250
0.750 0.750 0.750
```

Formation energy from the elements in eV/atom: 0.24
Space-group type: Immm, No. 71
Total DFT energy (no corrections) in Ry/atom: -0.57493



In order of appearance, N(E_F) = 0.00; 0.41; 1.06; 0.98 states/eV per atom.